Record 1
Here is a relaxed structure of ZrFe2Os from Alexandria via LeMat-Bulk. Energies are from PBE.

Lattice parameters (Å, degrees): 3.7369 3.7369 9.7864 78.99 78.99 90.00
Atoms (fractional coordinates):
Os 0.0000 0.0000 0.0000
Os 0.7500 0.2500 0.5000
Fe 0.8750 0.9177 0.7500
Fe 0.0823 0.6250 0.2500
Fe 0.6677 0.1250 0.2500
Fe 0.3750 0.3323 0.7500
Zr 0.5000 0.5000 0.0000
Zr 0.2500 0.7500 0.5000

Computed properties:
The calculated formation energy is 1.90 eV/f.u. For the total DFT energy (no corrections), the calculation gives -8.7002 eV/atom. As for the density of states at the Fermi level: 3.911 states/eV/f.u. As for the crystal system: tetragonal.

Record 2
Here is a relaxed structure of Zr4FeOs3 from Alexandria via LeMat-Bulk. Energies are from PBE.

Lattice parameters (Å, degrees): 3.2671 3.2671 13.0355 90.00 90.00 90.00
Atoms (fractional coordinates):
Zr 0.0000 0.0000 0.6272
Zr 0.0000 0.0000 0.8806
Zr 0.0000 0.0000 0.1194
Zr 0.0000 0.0000 0.3728
Fe 0.5000 0.5000 0.0000
Os 0.5000 0.5000 0.7538
Os 0.5000 0.5000 0.2462
Os 0.5000 0.5000 0.5000

Computed properties:
The calculated formation energy is -3.51 eV/f.u. For the total DFT energy (no corrections), the calculation gives -9.9814 eV/atom. As for the density of states at the Fermi level: 2.549 states/eV/f.u. As for the crystal system: tetragonal.

Record 3
Here is a relaxed structure of ZrFe2Os from Alexandria via LeMat-Bulk. Energies are from PBE.

Lattice parameters (Å, degrees): 4.2799 2.7335 5.1391 79.90 90.00 90.00
Atoms (fractional coordinates):
Fe 0.5000 0.2232 0.2473
Fe 0.0000 0.0401 0.0256
Zr 0.5000 0.7450 0.7558
Os 0.0000 0.4917 0.4713

Computed properties:
The calculated formation energy is 0.27 eV/f.u. For the total DFT energy (no corrections), the calculation gives -9.1096 eV/atom. As for the density of states at the Fermi level: 3.163 states/eV/f.u. As for the crystal system: monoclinic.

Record 4
Here is a relaxed structure of ZrFe2Os from Alexandria via LeMat-Bulk. Energies are from PBE.

Lattice parameters (Å, degrees): 4.2077 2.7412 5.3126 76.65 90.00 90.00
Atoms (fractional coordinates):
Zr 0.5000 0.7500 0.7500
Fe 0.0000 0.9952 0.0292
Fe 0.0000 0.5048 0.4708
Os 0.5000 0.2500 0.2500

Computed properties:
The calculated formation energy is 0.36 eV/f.u. For the total DFT energy (no corrections), the calculation gives -9.0860 eV/atom. As for the density of states at the Fermi level: 3.579 states/eV/f.u. As for the crystal system: monoclinic.

Record 5
Here is a relaxed structure of ZrFe2Os from Alexandria via LeMat-Bulk. Energies are from PBE.

Lattice parameters (Å, degrees): 8.9171 8.9171 8.9171 18.08 18.08 18.08
Atoms (fractional coordinates):
Os 0.5100 0.5100 0.5100
Fe 0.9894 0.9894 0.9894
Fe 0.2534 0.2534 0.2534
Zr 0.7472 0.7472 0.7472

Computed properties:
The calculated formation energy is 1.11 eV/f.u. For the total DFT energy (no corrections), the calculation gives -8.8984 eV/atom. As for the density of states at the Fermi level: 3.719 states/eV/f.u. As for the crystal system: trigonal.

Record 6
Here is a relaxed structure of Zr5Fe2Os from Alexandria via LeMat-Bulk. Energies are from PBE.

Lattice parameters (Å, degrees): 6.6337 6.6337 8.3215 113.49 113.49 90.00
Atoms (fractional coordinates):
Zr 0.8231 0.9688 0.2918
Zr 0.1769 0.0312 0.7082
Zr 0.0312 0.5312 0.7082
Zr 0.5000 0.5000 0.0000
Zr 0.0000 0.0000 0.0000
Zr 0.9688 0.4688 0.2918
Zr 0.3231 0.8231 0.2918
Zr 0.4688 0.3231 0.2918
Zr 0.5312 0.6769 0.7082
Zr 0.6769 0.1769 0.7082
Fe 0.1153 0.3847 0.0000
Fe 0.8847 0.6153 0.0000
Fe 0.3847 0.8847 0.0000
Fe 0.6153 0.1153 0.0000
Os 0.7500 0.7500 0.5000
Os 0.2500 0.2500 0.5000

Computed properties:
The calculated formation energy is -1.71 eV/f.u. For the total DFT energy (no corrections), the calculation gives -9.0754 eV/atom. As for the density of states at the Fermi level: 8.791 states/eV/f.u. As for the crystal system: tetragonal.

Record 7
Here is a relaxed structure of ZrFe2Os from Alexandria via LeMat-Bulk. Energies are from PBE.

Lattice parameters (Å, degrees): 5.0237 5.0237 2.7411 80.45 80.45 115.96
Atoms (fractional coordinates):
Os 0.5000 0.0000 0.5000
Zr 0.0000 0.5000 0.5000
Fe 0.5000 0.5000 0.0000
Fe 0.0000 0.0000 0.0000

Computed properties:
The calculated formation energy is 0.42 eV/f.u. For the total DFT energy (no corrections), the calculation gives -9.0711 eV/atom. As for the density of states at the Fermi level: 3.024 states/eV/f.u. As for the crystal system: monoclinic.

Record 8
Here is a relaxed structure of Zr4FeOs2 from Alexandria via LeMat-Bulk. Energies are from PBE.

Lattice parameters (Å, degrees): 4.5671 4.5671 7.9277 73.26 73.26 60.00
Atoms (fractional coordinates):
Zr 0.8740 0.8740 0.3781
Zr 0.1260 0.1260 0.6219
Zr 0.3767 0.3767 0.8698
Zr 0.6233 0.6233 0.1302
Fe 0.0000 0.0000 0.0000
Os 0.2512 0.2512 0.2465
Os 0.7488 0.7488 0.7535

Computed properties:
The calculated formation energy is -2.24 eV/f.u. For the total DFT energy (no corrections), the calculation gives -9.6221 eV/atom. As for the density of states at the Fermi level: 4.424 states/eV/f.u. As for the crystal system: trigonal.

Q: Which of these has the highest total DFT energy (no corrections)?
A: number 1

Copy entry 2 word for word.
Here is a relaxed structure of Zr4FeOs3 from Alexandria via LeMat-Bulk. Energies are from PBE.

Lattice parameters (Å, degrees): 3.2671 3.2671 13.0355 90.00 90.00 90.00
Atoms (fractional coordinates):
Zr 0.0000 0.0000 0.6272
Zr 0.0000 0.0000 0.8806
Zr 0.0000 0.0000 0.1194
Zr 0.0000 0.0000 0.3728
Fe 0.5000 0.5000 0.0000
Os 0.5000 0.5000 0.7538
Os 0.5000 0.5000 0.2462
Os 0.5000 0.5000 0.5000

Computed properties:
The calculated formation energy is -3.51 eV/f.u. For the total DFT energy (no corrections), the calculation gives -9.9814 eV/atom. As for the density of states at the Fermi level: 2.549 states/eV/f.u. As for the crystal system: tetragonal.